Entry 1:
The following is a DFT calculation (PBE-GGA) of crystalline Sm2PuAs3 at its relaxed geometry.

abc: 4.197 5.913 12.538
angles: 90.00 90.00 90.00
Space group Immm (No. 71)
Inequivalent atoms, fractional coordinates:
Sm: 0.000 0.000 0.168
Pu: 0.000 0.000 0.500
As: 0.000 0.500 0.162
As: 0.000 0.500 0.500

Computed properties:
Offset from the most stable computed form   0 kJ/mol of formula units
Formation energy from the elements   -1350 meV per atom
Spin magnetization   4.93 μB per formula unit

---

Entry 2:
The following is a DFT calculation (PBE-GGA) of crystalline LiBiSe2N at its relaxed geometry.

abc: 4.518 4.518 4.866
angles: 90.00 90.00 90.00
Space group P4/mmm (No. 123)
Inequivalent atoms, fractional coordinates:
Li: 0.000 0.000 0.000
Bi: 0.500 0.500 0.000
Se: 0.000 0.500 0.500
N: 0.500 0.500 0.500

Computed properties:
Offset from the most stable computed form   0 kJ/mol of formula units
Spin magnetization   0.00 μB per formula unit

---

Entry 3:
The following is a DFT calculation (PBE-GGA) of crystalline NaCa2IrC at its relaxed geometry.

abc: 5.246 5.246 3.920
angles: 90.00 90.00 90.00
Space group P4/mmm (No. 123)
Inequivalent atoms, fractional coordinates:
Na: 0.000 0.000 0.000
Ca: 0.000 0.500 0.500
Ir: 0.500 0.500 0.000
C: 0.500 0.500 0.500

Computed properties:
Formation energy from the elements   -144 meV per atom
Spin magnetization   0.00 μB per formula unit

---

Entry 4:
The following is a DFT calculation (PBE-GGA) of crystalline TbDy2Si3Pt4 at its relaxed geometry.

abc: 4.182 4.182 11.020
angles: 90.00 90.00 90.00
Space group P-4m2 (No. 115)
Inequivalent atoms, fractional coordinates:
Tb: 0.000 0.000 0.000
Dy: 0.000 0.500 0.722
Si: 0.000 0.500 0.379
Si: 0.500 0.500 0.000
Pt: 0.000 0.000 0.500
Pt: 0.000 0.500 0.165
Pt: 0.500 0.500 0.500

Computed properties:
Calculated total energy   -64.7 eV/f.u.
Spin magnetization   0.00 μB per formula unit

---

Entry 5:
The following is a DFT calculation (PBE-GGA) of crystalline Ni2RhAu at its relaxed geometry.

abc: 6.736 6.736 5.317
angles: 90.00 90.00 90.00
Space group I-42d (No. 122)
Inequivalent atoms, fractional coordinates:
Ni: 0.235 0.250 0.125
Rh: 0.000 0.000 0.000
Au: 0.000 0.000 0.500

Computed properties:
Formation energy from the elements   500 meV per atom
Spin magnetization   2.24 μB per formula unit

---

Entry 6:
The following is a DFT calculation (PBE-GGA) of crystalline HoTm5Tl4 at its relaxed geometry.

abc: 3.583 3.583 21.382
angles: 90.00 90.00 90.00
Space group P4/mmm (No. 123)
Inequivalent atoms, fractional coordinates:
Ho: 0.000 0.000 0.000
Tm: 0.500 0.500 0.113
Tm: 0.500 0.500 0.305
Tm: 0.500 0.500 0.500
Tl: 0.000 0.000 0.210
Tl: 0.000 0.000 0.403

Computed properties:
Formation energy from the elements   -247 meV per atom
Spin magnetization   0.10 μB per formula unit

---

Entry 7:
The following is a DFT calculation (PBE-GGA) of crystalline Al3SbO at its relaxed geometry.

abc: 4.413 4.413 4.413
angles: 90.00 90.00 90.00
Space group Pm-3m (No. 221)
Inequivalent atoms, fractional coordinates:
Al: 0.000 0.000 0.500
Sb: 0.500 0.500 0.500
O: 0.000 0.000 0.000

Computed properties:
Offset from the most stable computed form   0 kJ/mol of formula units
Spin magnetization   0.00 μB per formula unit

---

Entry 8:
The following is a DFT calculation (PBE-GGA) of crystalline CaAl2Zn at its relaxed geometry.

abc: 3.2486 3.2486 28.0171
angles: 90.00 90.00 120.00
Space group R-3m (No. 166, hexagonal axes)
Inequivalent atoms, fractional coordinates:
Ca: 0.0000 0.0000 0.0000
Al: 0.0000 0.0000 0.2394
Zn: 0.0000 0.0000 0.5000

Computed properties:
Formation energy from the elements   129 meV per atom
Spin magnetization   0.00 μB per formula unit

---

Entry 9:
The following is a DFT calculation (PBE-GGA) of crystalline LaGePbAu at its relaxed geometry.

abc: 7.421 7.421 7.421
angles: 90.00 90.00 90.00
Space group F-43m (No. 216)
Inequivalent atoms, fractional coordinates:
La: 0.000 0.000 0.000
Ge: 0.250 0.250 0.250
Pb: 0.000 0.000 0.500
Au: 0.250 0.250 0.750

Computed properties:
Formation energy from the elements   -439 meV per atom
Spin magnetization   0.00 μB per formula unit

---

Entry 10:
The following is a DFT calculation (PBE-GGA) of crystalline Ho2Tm3Cd at its relaxed geometry.

abc: 3.418 16.708 6.425
angles: 90.00 90.00 90.00
Space group Imm2 (No. 44)
Inequivalent atoms, fractional coordinates:
Ho: 0.000 0.192 0.000
Tm: 0.000 0.132 0.495
Tm: 0.000 0.500 0.690
Cd: 0.000 0.000 0.800

Computed properties:
Offset from the most stable computed form   144 kJ/mol of formula units
Formation energy from the elements   159 meV per atom
Spin magnetization   0.00 μB per formula unit

---

Entry 11:
The following is a DFT calculation (PBE-GGA) of crystalline K2BaY at its relaxed geometry.

abc: 13.671 3.892 8.094
angles: 90.00 94.67 90.00
Space group Cm (No. 8)
Inequivalent atoms, fractional coordinates:
K: 0.000 0.000 0.000
K: 0.247 0.000 0.758
Ba: 0.256 0.500 0.295
Y: 0.499 0.000 0.480

Computed properties:
Offset from the most stable computed form   53 kJ/mol of formula units
Formation energy from the elements   399 meV per atom
Spin magnetization   0.16 μB per formula unit

---

Entry 12:
The following is a DFT calculation (PBE-GGA) of crystalline SrLi2OsRu at its relaxed geometry.

abc: 4.797 4.797 4.675
angles: 90.00 90.00 90.00
Space group P4/mmm (No. 123)
Inequivalent atoms, fractional coordinates:
Sr: 0.000 0.000 0.000
Li: 0.000 0.500 0.500
Os: 0.500 0.500 0.000
Ru: 0.500 0.500 0.500

Computed properties:
Formation energy from the elements   514 meV per atom
Spin magnetization   0.66 μB per formula unit

---

Entry 13:
The following is a DFT calculation (PBE-GGA) of crystalline Ba3Li2Pm2Tl4 at its relaxed geometry.

abc: 5.4572 5.4572 15.2818
angles: 90.00 90.00 120.00
Space group P-3m1 (No. 164)
Inequivalent atoms, fractional coordinates:
Ba: 0.0000 0.0000 0.0000
Ba: 0.0000 0.0000 0.2592
Li: 0.3333 0.6667 0.1505
Pm: 0.3333 0.6667 0.5711
Tl: 0.3333 0.6667 0.3663
Tl: 0.3333 0.6667 0.8588

Computed properties:
Formation energy from the elements   -153 meV per atom
Spin magnetization   0.00 μB per formula unit

---

Entry 14:
The following is a DFT calculation (PBE-GGA) of crystalline LaScV2 at its relaxed geometry.

abc: 7.065 7.065 7.065
angles: 90.00 90.00 90.00
Space group Fm-3m (No. 225)
Inequivalent atoms, fractional coordinates:
La: 0.000 0.000 0.000
Sc: 0.000 0.000 0.500
V: 0.250 0.250 0.250

Computed properties:
Offset from the most stable computed form   0 kJ/mol of formula units
Formation energy from the elements   493 meV per atom
Spin magnetization   5.57 μB per formula unit

---

Entry 15:
The following is a DFT calculation (PBE-GGA) of crystalline LiZrBiS4 at its relaxed geometry.

abc: 7.593 7.954 11.263
angles: 90.00 90.00 90.00
Space group Imma (No. 74)
Inequivalent atoms, fractional coordinates:
Li: 0.000 0.250 0.126
Zr: 0.250 0.250 0.750
Bi: 0.000 0.000 0.500
S: 0.000 0.024 0.749
S: 0.242 0.250 0.979

Computed properties:
Calculated total energy   -38.5 eV/f.u.
Spin magnetization   0.00 μB per formula unit

---

Entry 16:
The following is a DFT calculation (PBE-GGA) of crystalline ScBeRu2 at its relaxed geometry.

abc: 3.969 3.969 16.493
angles: 90.00 90.00 90.00
Space group I-42d (No. 122)
Inequivalent atoms, fractional coordinates:
Sc: 0.000 0.000 0.000
Be: 0.000 0.000 0.500
Ru: 0.172 0.750 0.625

Computed properties:
Formation energy from the elements   190 meV per atom
Spin magnetization   0.00 μB per formula unit

---

Entry 17:
The following is a DFT calculation (PBE-GGA) of crystalline TePtS at its relaxed geometry.

abc: 3.8668 3.8668 4.9803
angles: 90.00 90.00 120.00
Space group P3m1 (No. 156)
Inequivalent atoms, fractional coordinates:
Te: 0.0000 0.0000 0.0000
Pt: 0.3333 0.6667 0.2866
S: 0.6667 0.3333 0.5217

Computed properties:
Offset from the most stable computed form   6 kJ/mol of formula units
Spin magnetization   0.00 μB per formula unit

---

Entry 18:
The following is a DFT calculation (PBE-GGA) of crystalline AlPb5 at its relaxed geometry.

abc: 5.431 3.789 17.319
angles: 90.00 90.00 90.00
Space group Amm2 (No. 38)
Inequivalent atoms, fractional coordinates:
Al: 0.000 0.000 0.000
Pb: 0.000 0.000 0.346
Pb: 0.000 0.000 0.658
Pb: 0.500 0.000 0.208
Pb: 0.500 0.000 0.535
Pb: 0.500 0.000 0.877

Computed properties:
Offset from the most stable computed form   14 kJ/mol of formula units
Formation energy from the elements   129 meV per atom
Spin magnetization   0.00 μB per formula unit

---

Entry 19:
The following is a DFT calculation (PBE-GGA) of crystalline CeSm3N at its relaxed geometry.

abc: 5.072 5.072 5.072
angles: 90.00 90.00 90.00
Space group Pm-3m (No. 221)
Inequivalent atoms, fractional coordinates:
Ce: 0.000 0.000 0.000
Sm: 0.000 0.500 0.500
N: 0.500 0.500 0.500

Computed properties:
Calculated total energy   -30.2 eV/f.u.
Spin magnetization   1.93 μB per formula unit

---

Entry 20:
The following is a DFT calculation (PBE-GGA) of crystalline BaSi2Cl at its relaxed geometry.

abc: 3.983 6.570 9.036
angles: 90.00 90.00 90.00
Space group Imm2 (No. 44)
Inequivalent atoms, fractional coordinates:
Ba: 0.000 0.000 0.000
Si: 0.000 0.000 0.444
Si: 0.000 0.500 0.816
Cl: 0.000 0.500 0.248

Computed properties:
Offset from the most stable computed form   97 kJ/mol of formula units
Spin magnetization   0.00 μB per formula unit

---

Entry 21:
The following is a DFT calculation (PBE-GGA) of crystalline La3CdFe at its relaxed geometry.

abc: 5.302 5.302 5.302
angles: 90.00 90.00 90.00
Space group Pm-3m (No. 221)
Inequivalent atoms, fractional coordinates:
La: 0.000 0.000 0.500
Cd: 0.500 0.500 0.500
Fe: 0.000 0.000 0.000

Computed properties:
Formation energy from the elements   -99 meV per atom
Spin magnetization   0.00 μB per formula unit

---

Entry 22:
The following is a DFT calculation (PBE-GGA) of crystalline Th5InTc at its relaxed geometry.

abc: 4.948 4.948 8.411
angles: 90.00 90.00 90.00
Space group P4/mmm (No. 123)
Inequivalent atoms, fractional coordinates:
Th: 0.000 0.000 0.000
Th: 0.000 0.500 0.293
In: 0.500 0.500 0.000
Tc: 0.000 0.000 0.500

Computed properties:
Formation energy from the elements   -53 meV per atom
Spin magnetization   0.00 μB per formula unit

---

Entry 23:
The following is a DFT calculation (PBE-GGA) of crystalline SmThFeCu at its relaxed geometry.

abc: 7.019 7.019 7.019
angles: 90.00 90.00 90.00
Space group F-43m (No. 216)
Inequivalent atoms, fractional coordinates:
Sm: 0.000 0.000 0.000
Th: 0.000 0.000 0.500
Fe: 0.250 0.250 0.250
Cu: 0.250 0.250 0.750

Computed properties:
Formation energy from the elements   40 meV per atom
Spin magnetization   1.05 μB per formula unit

---

Entry 24:
The following is a DFT calculation (PBE-GGA) of crystalline VRe2SiPd at its relaxed geometry.

abc: 4.731 4.731 4.450
angles: 90.00 90.00 90.00
Space group P4/mmm (No. 123)
Inequivalent atoms, fractional coordinates:
V: 0.000 0.000 0.000
Re: 0.000 0.500 0.500
Si: 0.500 0.500 0.000
Pd: 0.000 0.000 0.500

Computed properties:
Calculated total energy   -33.5 eV/f.u.
Spin magnetization   0.97 μB per formula unit

---

Entry 25:
The following is a DFT calculation (PBE-GGA) of crystalline Ac8Sm3Tm2 at its relaxed geometry.

abc: 6.641 6.675 12.073
angles: 90.08 100.62 99.71
Space group P-1 (No. 2)
Inequivalent atoms, fractional coordinates:
Ac: 0.042 0.418 0.152
Ac: 0.196 0.115 0.772
Ac: 0.338 0.808 0.386
Ac: 0.420 0.652 0.690
Sm: 0.273 0.962 0.074
Sm: 0.500 0.500 0.000
Tm: 0.111 0.267 0.463

Computed properties:
Formation energy from the elements   57 meV per atom
Spin magnetization   0.00 μB per formula unit

---

Entry 26:
The following is a DFT calculation (PBE-GGA) of crystalline CuNi3Se at its relaxed geometry.

abc: 4.299 4.299 4.299
angles: 90.00 90.00 90.00
Space group Pm-3m (No. 221)
Inequivalent atoms, fractional coordinates:
Cu: 0.000 0.000 0.000
Ni: 0.000 0.500 0.500
Se: 0.500 0.500 0.500

Computed properties:
Offset from the most stable computed form   0 kJ/mol of formula units
Spin magnetization   0.00 μB per formula unit

---

Entry 27:
The following is a DFT calculation (PBE-GGA) of crystalline ReHgAs at its relaxed geometry.

abc: 4.7560 4.7560 2.7311
angles: 90.00 90.00 120.00
Space group P-6m2 (No. 187)
Inequivalent atoms, fractional coordinates:
Re: 0.0000 0.0000 0.0000
Hg: 0.3333 0.6667 0.5000
As: 0.6667 0.3333 0.0000

Computed properties:
Offset from the most stable computed form   134 kJ/mol of formula units
Formation energy from the elements   799 meV per atom
Spin magnetization   0.00 μB per formula unit